# Ca4H2N PBE optimized geometry
# DOS at the Fermi energy = 5.6 states/eV per cell
# Mass density = 2.08 g/cm³
# E_tot = -26.011 eV/f.u.
data_Ca4H2N
_chemical_formula_sum 'Ca8 H4 N2'
_space_group_name_H-M_alt 'I 4/m m m'
_space_group_IT_number 139
_space_group_name_Hall '-I 4 2'
_cell_length_a 4.884
_cell_length_b 4.884
_cell_length_c 11.788
_cell_angle_alpha 90.00
_cell_angle_beta 90.00
_cell_angle_gamma 90.00
loop_
_atom_site_label
_atom_site_fract_x
_atom_site_fract_y
_atom_site_fract_z
Ca1 0.000 0.000 0.206
Ca2 0.000 0.500 0.000
H1 0.000 0.000 0.405
N1 0.000 0.000 0.000